No. 1
{
  "formula": "CrAs2P",
  "functional": "PBE",
  "state": "relaxed",
  "formation_energy_ev_per_atom": 0.278,
  "magmom_total_mub_per_cell": 6.27,
  "sg": "No. 122",
  "lattice_angstrom": [[5.702, 0.000, 0.000], [0.000, 5.702, 0.000], [2.851, 2.851, 5.537]],
  "species": ["Cr", "Cr", "As", "As", "As", "As", "P", "P"],
  "frac_coords": [[0.000, 0.000, 0.000], [0.750, 0.250, 0.500], [0.625, 0.125, 0.250], [0.125, 0.625, 0.250], [0.375, 0.375, 0.750], [0.875, 0.875, 0.750], [0.500, 0.500, 0.000], [0.250, 0.750, 0.500]]
}


No. 2
{
  "formula": "Pr2MgPd",
  "functional": "PBE",
  "state": "relaxed",
  "formation_energy_ev_per_atom": -0.306,
  "polymorph_energy_ev_per_atom": 0.0889,
  "magmom_total_mub_per_cell": 0.00,
  "sg": "No. 225",
  "lattice_angstrom": [[5.338, 0.000, 0.000], [2.669, 4.623, 0.000], [2.669, 1.541, 4.359]],
  "species": ["Pr", "Pr", "Mg", "Pd"],
  "frac_coords": [[0.250, 0.250, 0.250], [0.750, 0.750, 0.750], [0.000, 0.000, 0.000], [0.500, 0.500, 0.500]]
}


No. 3
{
  "formula": "AcDyThMg",
  "functional": "PBE",
  "state": "relaxed",
  "formation_energy_ev_per_atom": 0.223,
  "magmom_total_mub_per_cell": 0.00,
  "sg": "No. 216",
  "lattice_angstrom": [[5.706, 0.000, 0.000], [2.853, 4.941, 0.000], [2.853, 1.647, 4.659]],
  "species": ["Ac", "Mg", "Th", "Dy"],
  "frac_coords": [[0.500, 0.500, 0.500], [0.000, 0.000, 0.000], [0.750, 0.750, 0.750], [0.250, 0.250, 0.250]]
}


No. 4
{
  "formula": "NaMg3In9",
  "functional": "PBE",
  "state": "relaxed",
  "formation_energy_ev_per_atom": -0.033,
  "magmom_total_mub_per_cell": 0.00,
  "sg": "No. 12",
  "lattice_angstrom": [[-5.438, 0.179, -2.581], [-5.940, -2.583, 4.929], [-3.696, 7.208, 1.262]],
  "species": ["Na", "Mg", "Mg", "Mg", "In", "In", "In", "In", "In", "In", "In", "In", "In"],
  "frac_coords": [[0.000, 0.000, 0.000], [0.500, 0.500, 0.000], [0.000, 0.000, 0.500], [0.500, 0.000, 0.500], [0.701, 0.790, 0.786], [0.299, 0.210, 0.214], [0.513, 0.210, 0.786], [0.487, 0.790, 0.214], [0.645, 0.347, 0.355], [0.355, 0.653, 0.645], [0.001, 0.653, 0.355], [0.999, 0.347, 0.645], [0.000, 0.500, 0.000]]
}